HfAsBr2Cl | PBE | relaxed

Output
Energy above the lowest structure with this stoichiometry   1.326 eV per atom
Mass density   5.63 g/cm3
Energy relative to the elements, uncorrected   0.903 eV per atom

Unit cell a=4.9141 b=4.9141 c=5.4761 alpha=90.00 beta=90.00 gamma=90.00
Fractional coordinates of all 5 atoms:
1 As 0.0000 0.0000 0.5000
2 Hf 0.5000 0.5000 0.5000
3 Br 0.0000 0.5000 0.0000
4 Br 0.5000 0.0000 0.0000
5 Cl 0.0000 0.0000 0.0000